CaBe4Te3O12, optimized geometry, DFT PBE; energy relative to the elements, uncorrected = -1735 meV/atom; electronic total energy = -6.027 eV/atom; density = 4.4 g/cm3; space group = R32, No. 155
1.0
6.5303 -0.0239 -0.0332
-1.5966 6.3321 -0.0332
-1.5966 -2.0414 5.9941
O Be Te Ca
12 4 3 1
direct
0.3658 0.9780 0.2153 O
0.9002 0.5000 0.0998 O
0.3499 0.6501 0.5000 O
0.5000 0.3499 0.6501 O
0.6501 0.5000 0.3499 O
0.0998 0.9002 0.5000 O
0.9780 0.2153 0.3658 O
0.5000 0.0998 0.9002 O
0.6342 0.7847 0.0220 O
0.2153 0.3658 0.9780 O
0.0220 0.6342 0.7847 O
0.7847 0.0220 0.6342 O
0.5000 0.9478 0.0522 Be
0.0522 0.5000 0.9478 Be
0.9478 0.0522 0.5000 Be
0.5000 0.5000 0.5000 Be
0.0000 0.5438 0.4562 Te
0.5438 0.4562 0.0000 Te
0.4562 0.0000 0.5438 Te
0.0000 0.0000 0.0000 Ca